Entry 1:
Computed, not measured: a relaxed structure of BiTeF2 at the GGA-PBE level of DFT.

**Theoretical density**: 7.41 Mg/m³
**Volume**: 167.9 Å³/cell
**Energy relative to the elements, uncorrected**: -576 kJ/mol of formula units
**VASP energy**: -16.74 eV/f.u.
**Magnetic moment**: 0.00 μB/cell

a = 4.0821 Å, b = 6.1924 Å, c = 7.0272 Å
α = 90.00°, β = 90.00°, γ = 109.07°
Element x y z (fractional)
F  0.1987  0.3960  0.4264
F  0.8013  0.6040  0.9264
F  0.1987  0.3960  0.0736
F  0.8013  0.6040  0.5736
Bi  0.7583  0.5220  0.2500
Bi  0.2417  0.4780  0.7500
Te  0.5190  0.0371  0.7500
Te  0.4810  0.9629  0.2500

Entry 2:
Computed, not measured: a relaxed structure of BiTeF2 at the GGA-PBE level of DFT.

**Theoretical density**: 7.32 Mg/m³
**Volume**: 84.9 Å³/cell
**Energy relative to the elements, uncorrected**: -426 kJ/mol of formula units
**VASP energy**: -15.18 eV/f.u.
**Magnetic moment**: 0.00 μB/cell

a = 8.8859 Å, b = 8.8859 Å, c = 8.8859 Å
α = 21.81°, β = 21.81°, γ = 21.81°
Element x y z (fractional)
Te  0.0000  0.0000  0.0000
Bi  0.5000  0.5000  0.5000
F  0.0828  0.0828  0.0828
F  0.9172  0.9172  0.9172

Entry 3:
Computed, not measured: a relaxed structure of Bi3TeF at the GGA-PBE level of DFT.

**Theoretical density**: 9.34 Mg/m³
**Volume**: 137.5 Å³/cell
**Energy relative to the elements, uncorrected**: -85 kJ/mol of formula units
**VASP energy**: -17.54 eV/f.u.
**Magnetic moment**: 0.00 μB/cell

a = 5.1619 Å, b = 5.1619 Å, c = 5.1619 Å
α = 90.00°, β = 90.00°, γ = 90.00°
Element x y z (fractional)
F  0.0000  0.0000  0.0000
Bi  0.0000  0.5000  0.0000
Bi  0.0000  0.0000  0.5000
Bi  0.5000  0.0000  0.0000
Te  0.5000  0.5000  0.5000

Entry 4:
Computed, not measured: a relaxed structure of BiTeF at the GGA-PBE level of DFT.

**Theoretical density**: 7.02 Mg/m³
**Volume**: 84.1 Å³/cell
**Energy relative to the elements, uncorrected**: -331 kJ/mol of formula units
**VASP energy**: -12.33 eV/f.u.
**Magnetic moment**: 0.00 μB/cell

a = 4.1723 Å, b = 4.1723 Å, c = 5.5760 Å
α = 90.00°, β = 90.00°, γ = 120.00°
Element x y z (fractional)
F  0.3333  0.6667  0.5468
Te  0.0000  0.0000  0.0635
Bi  0.6667  0.3333  0.3897

Entry 5:
Computed, not measured: a relaxed structure of Bi3TeF at the GGA-PBE level of DFT.

**Theoretical density**: 6.35 Mg/m³
**Volume**: 202.2 Å³/cell
**Energy relative to the elements, uncorrected**: 234 kJ/mol of formula units
**VASP energy**: -14.23 eV/f.u.
**Magnetic moment**: 0.00 μB/cell

a = 5.8693 Å, b = 5.8693 Å, c = 5.8693 Å
α = 90.00°, β = 90.00°, γ = 90.00°
Element x y z (fractional)
Bi  0.0000  0.0000  0.5000
Bi  0.5000  0.0000  0.0000
Bi  0.0000  0.5000  0.0000
F  0.5000  0.5000  0.5000
Te  0.0000  0.0000  0.0000

Entry 6:
Computed, not measured: a relaxed structure of BiTeF3 at the GGA-PBE level of DFT.

**Theoretical density**: 6.37 Mg/m³
**Volume**: 102.6 Å³/cell
**Energy relative to the elements, uncorrected**: -687 kJ/mol of formula units
**VASP energy**: -19.75 eV/f.u.
**Magnetic moment**: 2.00 μB/cell

a = 4.6819 Å, b = 4.6819 Å, c = 4.6819 Å
α = 90.00°, β = 90.00°, γ = 90.00°
Element x y z (fractional)
F  0.0000  0.0000  0.5000
F  0.5000  0.0000  0.0000
F  0.0000  0.5000  0.0000
Te  0.5000  0.5000  0.5000
Bi  0.0000  0.0000  0.0000

Entry 7:
Computed, not measured: a relaxed structure of Bi2Te2F at the GGA-PBE level of DFT.

**Theoretical density**: 7.01 Mg/m³
**Volume**: 328.0 Å³/cell
**Energy relative to the elements, uncorrected**: -328 kJ/mol of formula units
**VASP energy**: -19.32 eV/f.u.
**Magnetic moment**: 0.00 μB/cell

a = 6.6364 Å, b = 7.6814 Å, c = 8.3177 Å
α = 62.32°, β = 66.49°, γ = 64.41°
Element x y z (fractional)
Bi  0.4859  0.2565  0.7716
Bi  0.8289  0.7434  0.5988
Bi  0.1711  0.2566  0.4012
Bi  0.5141  0.7435  0.2284
Te  0.0303  0.7287  0.2106
Te  0.6848  0.2498  0.3806
Te  0.9697  0.2713  0.7894
Te  0.3152  0.7502  0.6194
F  0.6181  0.8925  0.8713
F  0.3819  0.1075  0.1287

Entry 8:
Computed, not measured: a relaxed structure of Bi2TeF3 at the GGA-PBE level of DFT.

**Theoretical density**: 7.37 Mg/m³
**Volume**: 271.5 Å³/cell
**Energy relative to the elements, uncorrected**: -908 kJ/mol of formula units
**VASP energy**: -25.93 eV/f.u.
**Magnetic moment**: 0.00 μB/cell

a = 4.0822 Å, b = 9.3505 Å, c = 8.2060 Å
α = 116.66°, β = 90.00°, γ = 102.61°
Element x y z (fractional)
F  0.6237  0.2474  0.6337
F  0.0719  0.1438  0.3486
F  0.9281  0.8562  0.6514
F  0.2987  0.5974  0.5505
F  0.3763  0.7526  0.3663
F  0.7013  0.4026  0.4495
Bi  0.1833  0.3667  0.6095
Bi  0.8167  0.6333  0.3905
Bi  0.5251  0.0501  0.8399
Bi  0.4749  0.9499  0.1601
Te  0.1574  0.3148  0.0015
Te  0.8426  0.6852  0.9985

Entry 9:
Computed, not measured: a relaxed structure of BiTeF2 at the GGA-PBE level of DFT.

**Theoretical density**: 7.28 Mg/m³
**Volume**: 171.0 Å³/cell
**Energy relative to the elements, uncorrected**: -462 kJ/mol of formula units
**VASP energy**: -15.55 eV/f.u.
**Magnetic moment**: 1.57 μB/cell

a = 4.5863 Å, b = 4.5863 Å, c = 8.7513 Å
α = 74.81°, β = 74.81°, γ = 90.00°
Element x y z (fractional)
F  0.3750  0.2722  0.7500
F  0.8750  0.9778  0.7500
F  0.7278  0.1250  0.2500
F  0.0222  0.6250  0.2500
Te  0.5000  0.5000  0.0000
Te  0.2500  0.7500  0.5000
Bi  0.7500  0.2500  0.5000
Bi  0.0000  0.0000  0.0000

Entry 10:
Computed, not measured: a relaxed structure of BiTeF2 at the GGA-PBE level of DFT.

**Theoretical density**: 8.53 Mg/m³
**Volume**: 72.9 Å³/cell
**Energy relative to the elements, uncorrected**: -365 kJ/mol of formula units
**VASP energy**: -14.55 eV/f.u.
**Magnetic moment**: 0.00 μB/cell

a = 4.6898 Å, b = 4.6898 Å, c = 4.6898 Å
α = 60.00°, β = 60.00°, γ = 60.00°
Element x y z (fractional)
F  0.2500  0.2500  0.2500
F  0.7500  0.7500  0.7500
Bi  0.5000  0.5000  0.5000
Te  0.0000  0.0000  0.0000

Entry 11:
Computed, not measured: a relaxed structure of BiTeF at the GGA-PBE level of DFT.

**Theoretical density**: 6.82 Mg/m³
**Volume**: 346.2 Å³/cell
**Energy relative to the elements, uncorrected**: -312 kJ/mol of formula units
**VASP energy**: -12.13 eV/f.u.
**Magnetic moment**: 0.00 μB/cell

a = 4.1815 Å, b = 7.6004 Å, c = 12.8250 Å
α = 121.86°, β = 90.00°, γ = 90.00°
Element x y z (fractional)
F  0.5000  0.1605  0.4956
F  0.0000  0.6516  0.0817
F  0.5000  0.9502  0.5991
F  0.0000  0.8345  0.4156
Bi  0.5000  0.6212  0.4267
Bi  0.5000  0.4038  0.0057
Bi  0.0000  0.8718  0.9994
Bi  0.0000  0.1568  0.5783
Te  0.0000  0.5482  0.5612
Te  0.0000  0.0922  0.8500
Te  0.5000  0.5282  0.8130
Te  0.5000  0.1811  0.1736

Entry 12:
Computed, not measured: a relaxed structure of BiTe2F2 at the GGA-PBE level of DFT.

**Theoretical density**: 8.05 Mg/m³
**Volume**: 207.2 Å³/cell
**Energy relative to the elements, uncorrected**: -332 kJ/mol of formula units
**VASP energy**: -17.35 eV/f.u.
**Magnetic moment**: 0.00 μB/cell

a = 7.9816 Å, b = 7.9816 Å, c = 3.2532 Å
α = 90.00°, β = 90.00°, γ = 90.00°
Element x y z (fractional)
Bi  0.0000  0.0000  0.0000
Bi  0.5000  0.5000  0.0000
F  0.6877  0.1877  0.0000
F  0.1877  0.3123  0.0000
F  0.3123  0.8123  0.0000
F  0.8123  0.6877  0.0000
Te  0.3740  0.1260  0.5000
Te  0.8740  0.3740  0.5000
Te  0.1260  0.6260  0.5000
Te  0.6260  0.8740  0.5000

Entry 13:
Computed, not measured: a relaxed structure of BiTeF at the GGA-PBE level of DFT.

**Theoretical density**: 6.83 Mg/m³
**Volume**: 345.9 Å³/cell
**Energy relative to the elements, uncorrected**: -314 kJ/mol of formula units
**VASP energy**: -12.15 eV/f.u.
**Magnetic moment**: 0.00 μB/cell

a = 8.3379 Å, b = 6.8613 Å, c = 7.4682 Å
α = 90.00°, β = 125.95°, γ = 90.00°
Element x y z (fractional)
F  0.5726  0.4157  0.3779
F  0.4274  0.5843  0.6221
F  0.9274  0.9157  0.6221
F  0.0726  0.0843  0.3779
Te  0.8941  0.5902  0.1894
Te  0.6059  0.0902  0.8106
Te  0.3941  0.9098  0.1894
Te  0.1059  0.4098  0.8106
Bi  0.3150  0.2551  0.3648
Bi  0.1850  0.7551  0.6352
Bi  0.8150  0.2449  0.3648
Bi  0.6850  0.7449  0.6352

Entry 14:
Computed, not measured: a relaxed structure of BiTe2F2 at the GGA-PBE level of DFT.

**Theoretical density**: 7.28 Mg/m³
**Volume**: 114.5 Å³/cell
**Energy relative to the elements, uncorrected**: -278 kJ/mol of formula units
**VASP energy**: -16.79 eV/f.u.
**Magnetic moment**: 0.00 μB/cell

a = 5.2347 Å, b = 5.2347 Å, c = 5.5819 Å
α = 62.04°, β = 62.04°, γ = 90.00°
Element x y z (fractional)
F  0.6851  0.6851  0.6298
F  0.3149  0.3149  0.3702
Te  0.7500  0.2500  0.5000
Te  0.2500  0.7500  0.5000
Bi  0.0000  0.0000  0.0000

Entry 15:
Computed, not measured: a relaxed structure of TlBiTeF2 at the GGA-PBE level of DFT.

**Theoretical density**: 6.95 Mg/m³
**Volume**: 138.2 Å³/cell
**Energy relative to the elements, uncorrected**: -636 kJ/mol of formula units
**VASP energy**: -19.72 eV/f.u.
**Magnetic moment**: 0.00 μB/cell

a = 4.7170 Å, b = 6.2131 Å, c = 4.7170 Å
α = 90.00°, β = 90.00°, γ = 90.00°
Element x y z (fractional)
Bi  0.0000  0.0000  0.0000
Tl  0.5000  0.5000  0.5000
F  0.5000  0.0000  0.0000
F  0.0000  0.0000  0.5000
Te  0.0000  0.5000  0.0000

Entry 16:
Computed, not measured: a relaxed structure of YBiTeF2 at the GGA-PBE level of DFT.

**Theoretical density**: 5.95 Mg/m³
**Volume**: 129.5 Å³/cell
**Energy relative to the elements, uncorrected**: -1084 kJ/mol of formula units
**VASP energy**: -28.47 eV/f.u.
**Magnetic moment**: 0.00 μB/cell

a = 4.4039 Å, b = 4.4039 Å, c = 6.6748 Å
α = 90.00°, β = 90.00°, γ = 90.00°
Element x y z (fractional)
Te  0.5000  0.5000  0.5000
F  0.5000  0.0000  0.0000
F  0.0000  0.5000  0.0000
Y  0.0000  0.0000  0.0000
Bi  0.0000  0.0000  0.5000

Entry 17:
Computed, not measured: a relaxed structure of ZnBiTe2F at the GGA-PBE level of DFT.

**Theoretical density**: 7.42 Mg/m³
**Volume**: 122.8 Å³/cell
**Energy relative to the elements, uncorrected**: -290 kJ/mol of formula units
**VASP energy**: -16.31 eV/f.u.
**Magnetic moment**: 0.00 μB/cell

a = 5.5188 Å, b = 4.0317 Å, c = 5.5188 Å
α = 90.00°, β = 90.00°, γ = 90.00°
Element x y z (fractional)
Bi  0.5000  0.5000  0.5000
Te  0.0000  0.0000  0.5000
Te  0.5000  0.0000  0.0000
Zn  0.0000  0.0000  0.0000
F  0.0000  0.5000  0.0000

Entry 18:
Computed, not measured: a relaxed structure of ThBi2F11 at the GGA-PBE level of DFT.

**Theoretical density**: 5.69 Mg/m³
**Volume**: 501.7 Å³/cell
**Energy relative to the elements, uncorrected**: -3920 kJ/mol of formula units
**VASP energy**: -76.39 eV/f.u.
**Magnetic moment**: 0.00 μB/cell

a = 8.3284 Å, b = 8.8159 Å, c = 8.8159 Å
α = 73.93°, β = 61.81°, γ = 61.81°
Element x y z (fractional)
F  0.9198  0.4343  0.2932
F  0.7407  0.6815  0.0306
F  0.5472  0.0306  0.6815
F  0.4528  0.9694  0.3185
F  0.2407  0.5306  0.1815
F  0.0472  0.1815  0.5306
F  0.1474  0.0657  0.2068
F  0.0000  0.0000  0.0000
F  0.3526  0.2932  0.4343
F  0.6312  0.2804  0.7196
F  0.1312  0.2196  0.7804
F  0.2593  0.3185  0.9694
F  0.4198  0.7932  0.9343
F  0.8526  0.9343  0.7932
F  0.7593  0.4694  0.8185
F  0.5802  0.2068  0.0657
F  0.5000  0.5000  0.5000
F  0.6474  0.7068  0.5657
F  0.8688  0.7804  0.2196
F  0.9528  0.8185  0.4694
F  0.3688  0.7196  0.2804
F  0.0802  0.5657  0.7068
Th  0.2500  0.2500  0.2500
Th  0.7500  0.7500  0.7500
Bi  0.6401  0.6815  0.3185
Bi  0.3599  0.3185  0.6815
Bi  0.8599  0.1815  0.8185
Bi  0.1401  0.8185  0.1815

Entry 19:
Computed, not measured: a relaxed structure of TiBiF3 at the GGA-PBE level of DFT.

**Theoretical density**: 5.04 Mg/m³
**Volume**: 103.4 Å³/cell
**Energy relative to the elements, uncorrected**: -495 kJ/mol of formula units
**VASP energy**: -22.52 eV/f.u.
**Magnetic moment**: 3.50 μB/cell

a = 4.6935 Å, b = 4.6935 Å, c = 4.6935 Å
α = 90.00°, β = 90.00°, γ = 90.00°
Element x y z (fractional)
F  0.5000  0.0000  0.0000
F  0.0000  0.5000  0.0000
F  0.0000  0.0000  0.5000
Ti  0.5000  0.5000  0.5000
Bi  0.0000  0.0000  0.0000

Entry 20:
Computed, not measured: a relaxed structure of TiBiF3 at the GGA-PBE level of DFT.

**Theoretical density**: 6.85 Mg/m³
**Volume**: 76.1 Å³/cell
**Energy relative to the elements, uncorrected**: -882 kJ/mol of formula units
**VASP energy**: -26.53 eV/f.u.
**Magnetic moment**: 0.00 μB/cell

a = 4.2375 Å, b = 4.2375 Å, c = 4.2375 Å
α = 90.00°, β = 90.00°, γ = 90.00°
Element x y z (fractional)
F  0.5000  0.0000  0.0000
F  0.0000  0.0000  0.5000
F  0.0000  0.5000  0.0000
Ti  0.0000  0.0000  0.0000
Bi  0.5000  0.5000  0.5000

Entry 21:
Computed, not measured: a relaxed structure of TiBi2F at the GGA-PBE level of DFT.

**Theoretical density**: 7.98 Mg/m³
**Volume**: 201.7 Å³/cell
**Energy relative to the elements, uncorrected**: -103 kJ/mol of formula units
**VASP energy**: -18.59 eV/f.u.
**Magnetic moment**: 2.00 μB/cell

a = 4.5299 Å, b = 4.5299 Å, c = 10.3397 Å
α = 77.35°, β = 77.35°, γ = 90.00°
Element x y z (fractional)
Bi  0.8750  0.8872  0.7500
Bi  0.6372  0.1250  0.2500
Bi  0.3750  0.3628  0.7500
Bi  0.1128  0.6250  0.2500
Ti  0.0000  0.0000  0.0000
Ti  0.7500  0.2500  0.5000
F  0.2500  0.7500  0.5000
F  0.5000  0.5000  0.0000

Entry 22:
Computed, not measured: a relaxed structure of TiBi2F at the GGA-PBE level of DFT.

**Theoretical density**: 9.30 Mg/m³
**Volume**: 86.6 Å³/cell
**Energy relative to the elements, uncorrected**: -156 kJ/mol of formula units
**VASP energy**: -19.14 eV/f.u.
**Magnetic moment**: 0.99 μB/cell

a = 4.9657 Å, b = 4.9657 Å, c = 4.9657 Å
α = 60.00°, β = 60.00°, γ = 60.00°
Element x y z (fractional)
Bi  0.2500  0.2500  0.2500
Bi  0.7500  0.7500  0.7500
Ti  0.5000  0.5000  0.5000
F  0.0000  0.0000  0.0000